Entry 1:
{
  "formula": "La2Al2Os",
  "functional": "PBE-GGA",
  "state": "relaxed",
  "de_polymorph_mev_per_atom": 0,
  "volume_a3_per_cell": 229.3,
  "space_group": "P4/mbm, No. 127",
  "lattice": [[6.770, 0.000, 0.000], [0.000, 6.770, 0.000], [0.000, 0.000, 5.003]],
  "species": ["Os", "Os", "Al", "Al", "Al", "Al", "La", "La", "La", "La"],
  "fractional_positions": [[0.000, 0.000, 0.000], [0.500, 0.500, 0.000], [0.355, 0.855, 0.000], [0.855, 0.645, 0.000], [0.645, 0.145, 0.000], [0.145, 0.355, 0.000], [0.174, 0.674, 0.500], [0.674, 0.826, 0.500], [0.826, 0.326, 0.500], [0.326, 0.174, 0.500]]
}



Entry 2:
{
  "formula": "Pr12SmTm6",
  "functional": "PBE-GGA",
  "state": "relaxed",
  "de_polymorph_mev_per_atom": 110,
  "volume_a3_per_cell": 676.1,
  "space_group": "R-3, No. 148",
  "lattice": [[8.884, 0.124, -2.733], [-3.733, 8.063, -2.733], [0.078, 0.124, 9.295]],
  "species": ["Pr", "Pr", "Pr", "Pr", "Pr", "Pr", "Pr", "Pr", "Pr", "Pr", "Pr", "Pr", "Sm", "Tm", "Tm", "Tm", "Tm", "Tm", "Tm"],
  "fractional_positions": [[0.480, 0.195, 0.577], [0.195, 0.577, 0.480], [0.577, 0.480, 0.195], [0.520, 0.805, 0.423], [0.805, 0.423, 0.520], [0.423, 0.520, 0.805], [0.279, 0.137, 0.830], [0.170, 0.721, 0.863], [0.863, 0.170, 0.721], [0.721, 0.863, 0.170], [0.830, 0.279, 0.137], [0.137, 0.830, 0.279], [0.000, 0.000, 0.000], [0.073, 0.188, 0.460], [0.812, 0.540, 0.927], [0.540, 0.927, 0.812], [0.927, 0.812, 0.540], [0.188, 0.460, 0.073], [0.460, 0.073, 0.188]]
}



Entry 3:
{
  "formula": "TaBeCu2",
  "functional": "PBE-GGA",
  "state": "relaxed",
  "volume_a3_per_cell": 53.4,
  "space_group": "C2/m, No. 12",
  "lattice": [[4.670, -0.003, -0.009], [-2.217, 4.702, -0.005], [0.236, 0.684, 2.431]],
  "species": ["Be", "Cu", "Cu", "Ta"],
  "fractional_positions": [[0.500, 0.500, 0.000], [0.000, 0.000, 0.000], [0.500, 0.000, 0.500], [0.000, 0.500, 0.500]]
}



Entry 4:
{
  "formula": "Pm8Dy4Mg",
  "functional": "PBE-GGA",
  "state": "relaxed",
  "volume_a3_per_cell": 476.5,
  "space_group": "Pm-3m, No. 221",
  "lattice": [[9.720, -0.001, -5.244], [-6.274, 9.089, -0.001], [-2.354, -1.624, 7.268]],
  "species": ["Pm", "Pm", "Pm", "Pm", "Pm", "Pm", "Pm", "Pm", "Dy", "Dy", "Dy", "Dy", "Mg"],
  "fractional_positions": [[0.510, 0.755, 0.265], [0.490, 0.245, 0.735], [0.491, 0.245, 0.245], [0.000, 0.245, 0.755], [0.509, 0.755, 0.755], [0.000, 0.755, 0.755], [0.000, 0.245, 0.245], [0.000, 0.755, 0.245], [0.000, 0.000, 0.000], [0.000, 0.500, 0.000], [0.500, 0.500, 0.000], [0.500, 0.000, 0.000], [0.000, 0.500, 0.500]]
}



Entry 5:
{
  "formula": "LuMg2Rh",
  "functional": "PBE-GGA",
  "state": "relaxed",
  "volume_a3_per_cell": 85.0,
  "space_group": "R-3m, No. 166",
  "lattice": [[3.036, 0.000, 0.000], [1.518, 2.629, 0.000], [1.518, 0.876, 10.641]],
  "species": ["Mg", "Mg", "Lu", "Rh"],
  "fractional_positions": [[0.078, 0.078, 0.767], [0.922, 0.922, 0.233], [0.500, 0.500, 0.500], [0.000, 0.000, 0.000]]
}



Entry 6:
{
  "formula": "MgAg6Au2",
  "functional": "PBE-GGA",
  "state": "relaxed",
  "de_polymorph_mev_per_atom": 148,
  "volume_a3_per_cell": 355.3,
  "space_group": "C2/c, No. 15",
  "lattice": [[-7.062, -0.181, 2.553], [0.257, -5.318, 4.600], [0.225, 4.706, 5.226]],
  "species": ["Mg", "Mg", "Ag", "Ag", "Ag", "Ag", "Ag", "Ag", "Ag", "Ag", "Ag", "Ag", "Ag", "Ag", "Au", "Au", "Au", "Au"],
  "fractional_positions": [[0.250, 0.132, 0.868], [0.750, 0.868, 0.132], [0.401, 0.685, 0.450], [0.099, 0.550, 0.315], [0.599, 0.315, 0.550], [0.901, 0.450, 0.685], [0.960, 0.117, 0.344], [0.540, 0.656, 0.883], [0.040, 0.883, 0.656], [0.460, 0.344, 0.117], [0.123, 0.819, 0.034], [0.377, 0.966, 0.181], [0.877, 0.181, 0.966], [0.623, 0.034, 0.819], [0.243, 0.502, 0.786], [0.257, 0.214, 0.498], [0.757, 0.498, 0.214], [0.743, 0.786, 0.502]]
}



Computed energy of formation from the pure elements, in the same sequence as the records: -69 433 120 616 106 53 kJ/mol of formula units.